The following is a PBE calculation of crystalline RbLu2Cu3S5 at its relaxed geometry, from the Open Quantum Materials Database.

For the uncorrected energy, the calculation gives -5.042 eV/atom.

a = 7.176 Å, b = 7.176 Å, c = 16.227 Å
α = 90.00°, β = 90.00°, γ = 148.48°
Fractional positions:
Rb (0.066, 0.934, 0.750)
Rb (0.934, 0.066, 0.250)
Lu (0.192, 0.808, 0.093)
Lu (0.192, 0.808, 0.407)
Lu (0.808, 0.192, 0.593)
Lu (0.808, 0.192, 0.907)
Cu (0.348, 0.652, 0.750)
Cu (0.417, 0.583, 0.039)
Cu (0.417, 0.583, 0.461)
Cu (0.583, 0.417, 0.539)
Cu (0.583, 0.417, 0.961)
Cu (0.652, 0.348, 0.250)
S (0.170, 0.830, 0.569)
S (0.170, 0.830, 0.931)
S (0.240, 0.760, 0.250)
S (0.437, 0.563, 0.615)
S (0.437, 0.563, 0.885)
S (0.563, 0.437, 0.115)
S (0.563, 0.437, 0.385)
S (0.760, 0.240, 0.750)
S (0.830, 0.170, 0.069)
S (0.830, 0.170, 0.431)